[1]
Material: KPrBi
Method: DFT, PBE
State: optimized geometry

Lattice parameters (Å, degrees): 5.5733 5.5733 5.5733 60.00 60.00 60.00
Closest atoms and distances in Å follow each position.
Fractional positions:
1 K 0.0000 0.0000 0.0000  4 Bi 3.41
2 Pr 0.5000 0.5000 0.5000  4 Bi 3.41
3 Bi 0.2500 0.2500 0.2500  4 Pr 3.41, 4 K 3.41

Properties
Total magnetic moment ... 0.01 μB per cell
Space-group type ... No. 216
DFT total energy ... -3.59 eV/atom

[2]
Material: KAgAsO4
Method: DFT, PBE
State: optimized geometry

Lattice parameters (Å, degrees): 10.2410 10.2410 10.2410 29.46 29.46 29.46
Closest atoms and distances in Å follow each position.
Fractional positions:
1 K 0.2107 0.2107 0.2107  4 O 2.51-2.78
2 K 0.7893 0.7893 0.7893  4 O 2.51-2.78
3 Ag 0.3358 0.3358 0.3358  6 O 2.28-2.31
4 Ag 0.6642 0.6642 0.6642  6 O 2.28-2.31
5 As 0.0677 0.0677 0.0677  4 O 1.69-1.73
6 As 0.9323 0.9323 0.9323  4 O 1.69-1.73
7 O 0.0385 0.3697 0.7385  1 As 1.73
8 O 0.1254 0.1254 0.1254  1 As 1.69
9 O 0.2615 0.9615 0.6303  1 As 1.73
10 O 0.3697 0.7385 0.0385  1 As 1.73
11 O 0.6303 0.2615 0.9615  1 As 1.73
12 O 0.7385 0.0385 0.3697  1 As 1.73
13 O 0.8746 0.8746 0.8746  1 As 1.69
14 O 0.9615 0.6303 0.2615  1 As 1.73

Properties
Space-group type ... No. 148
DFT total energy ... -5.09 eV/atom

[3]
Material: Tb2H2I3Br
Method: DFT, PBE
State: optimized geometry

Lattice parameters (Å, degrees): 3.9741 3.9741 15.7985 90.00 90.00 120.00
Closest atoms and distances in Å follow each position.
Fractional positions:
1 Tb 0.0000 0.0000 0.0000  3 H 2.30
2 Tb 0.0000 0.0000 0.4944  3 H 2.29
3 H 0.3333 0.6667 0.9966  3 Tb 2.30
4 H 0.6667 0.3333 0.4947  3 Tb 2.29
5 I 0.3333 0.6667 0.3595  3 Tb 3.13, 3 H 3.14
6 I 0.3333 0.6667 0.6295  3 H 3.13, 3 Tb 3.13
7 I 0.6667 0.3333 0.8647  3 H 3.10, 3 Tb 3.14
8 Br 0.6667 0.3333 0.1185  3 Tb 2.96, 3 H 3.00

Properties
Total magnetic moment ... 0.00 μB per cell
Space-group type ... No. 156
DFT total energy ... -4.06 eV/atom

[4]
Material: CuNiGeMo
Method: DFT, PBE
State: optimized geometry

Lattice parameters (Å, degrees): 4.2382 4.2382 4.2382 60.00 60.00 60.00
Closest atoms and distances in Å follow each position.
Fractional positions:
1 Cu 0.0000 0.0000 0.0000  4 Ge 2.60, 4 Mo 2.60
2 Ni 0.5000 0.5000 0.5000  4 Ge 2.60, 4 Mo 2.60
3 Ge 0.7500 0.7500 0.7500  4 Ni 2.60, 4 Cu 2.60
4 Mo 0.2500 0.2500 0.2500  4 Ni 2.60, 4 Cu 2.60

Properties
Total magnetic moment ... 1.37 μB per cell
Space-group type ... No. 216
Relative energy among the computed polymorphs ... 140 meV per atom

- Which formula does entry 1 have?
  KPrBi